(1)
VASP calculation (PBE-GGA) on SrCaSi2 after structural relaxation. Values from VASP.

The structure in Quantum ESPRESSO input format:
```
&SYSTEM
  ibrav = 0, nat = 4, ntyp = 3
/
ATOMIC_SPECIES
Sr 87.62 Sr.upf
Ca 40.08 Ca.upf
Si 28.09 Si.upf
CELL_PARAMETERS angstrom
-1.9225 2.3500 5.7934
1.9225 -2.3500 5.7934
1.9225 2.3500 -5.7934
ATOMIC_POSITIONS crystal
Sr 0.0000 0.0000 0.0000
Ca 0.2614 0.7614 0.5000
Si 0.5869 0.5869 0.0000
Si 0.7179 0.2179 0.5000
```

Values from the calculation:
- Magnetic moment: 0.00 μB/cell
- Symmetry: Imm2, No. 44
- Density of states at the Fermi level: 1.92 states/eV per cell
- Energy: -16.0 eV per formula unit

=====

(2)
VASP calculation (PBE-GGA) on BaNaO2 after structural relaxation. Values from VASP.

The structure in Quantum ESPRESSO input format:
```
&SYSTEM
  ibrav = 0, nat = 4, ntyp = 3
/
ATOMIC_SPECIES
Ba 137.33 Ba.upf
Na 22.99 Na.upf
O 16.00 O.upf
CELL_PARAMETERS angstrom
1.9120 1.1039 5.9799
-1.9120 1.1039 5.9799
0.0000 -2.2077 5.9799
ATOMIC_POSITIONS crystal
Ba 0.0000 0.0000 0.0000
Na 0.1750 0.1750 0.1750
O 0.4208 0.4208 0.4208
O 0.5826 0.5826 0.5826
```

Values from the calculation:
- Magnetic moment: 1.00 μB/cell
- Symmetry: R3m, No. 160
- Density of states at the Fermi level: 2.61 states/eV per cell
- Energy: -19.2 eV per formula unit

=====

(3)
VASP calculation (PBE-GGA) on LiHfTiOs after structural relaxation. Values from VASP.

The structure in Quantum ESPRESSO input format:
```
&SYSTEM
  ibrav = 0, nat = 4, ntyp = 4
/
ATOMIC_SPECIES
Li 6.94 Li.upf
Hf 178.49 Hf.upf
Ti 47.87 Ti.upf
Os 190.23 Os.upf
CELL_PARAMETERS angstrom
0.0000 3.1874 3.1874
3.1874 0.0000 3.1874
3.1874 3.1874 0.0000
ATOMIC_POSITIONS crystal
Li 0.0000 0.0000 0.0000
Hf 0.2500 0.2500 0.2500
Ti 0.7500 0.7500 0.7500
Os 0.5000 0.5000 0.5000
```

Values from the calculation:
- Magnetic moment: 0.00 μB/cell
- Symmetry: F-43m, No. 216
- Density of states at the Fermi level: 3.76 states/eV per cell
- Energy: -32.3 eV per formula unit